Entry 1:
Below is a relaxed structure of Hf4ZnB3, with properties calculated at the PBE level.

Total magnetic moment = 0.76 μB/cell
Uncorrected energy = -127.9 eV/cell

Cell: 3.4016 3.4016 25.3508 Å, 90.00 90.00 120.00°
Last column: nearest neighbours and their distance in Å.
Space group P6_3/mmc (No. 194)
Inequivalent atoms, fractional coordinates:
Hf1 0.0000 0.0000 0.1618 (multiplicity 4)  3 B 2.32
Hf2 0.3333 0.6667 0.0562 (multiplicity 4)  6 B 2.43-2.44
Zn1 0.3333 0.6667 0.2500 (multiplicity 2)  6 Hf 2.98
B1 0.0000 0.0000 0.0000 (multiplicity 2)  6 Hf 2.43
B2 0.3333 0.6667 0.6134 (multiplicity 4)  6 Hf 2.32-2.44

***

Entry 2:
Below is a relaxed structure of BeCuSiTc, with properties calculated at the PBE level.

Total magnetic moment = 0.03 μB/cell
Uncorrected energy = -88.8 eV/cell
Energy relative to the lowest polymorph listed for this composition = 0.388 eV/atom

Cell: 5.7393 5.7393 5.7393 Å, 90.00 90.00 90.00°
Last column: nearest neighbours and their distance in Å.
Space group F-43m (No. 216)
Inequivalent atoms, fractional coordinates:
Be1 0.0000 0.0000 0.0000 (multiplicity 4)  4 Tc 2.49, 4 Si 2.49
Cu1 0.0000 0.0000 0.5000 (multiplicity 4)  4 Tc 2.49, 4 Si 2.49
Si1 0.2500 0.2500 0.7500 (multiplicity 4)  4 Be 2.49, 4 Cu 2.49
Tc1 0.2500 0.2500 0.2500 (multiplicity 4)  4 Be 2.49, 4 Cu 2.49

***

Entry 3:
Below is a relaxed structure of ScNb3Tc2, with properties calculated at the PBE level.

Total magnetic moment = 0.01 μB/cell
Uncorrected energy = -58.5 eV/cell
Formation energy = -0.203 eV per atom

Cell: 3.2082 3.2082 10.0810 Å, 90.00 90.00 90.00°
Last column: nearest neighbours and their distance in Å.
Space group P4mm (No. 99)
Inequivalent atoms, fractional coordinates:
Sc1 0.0000 0.0000 0.0000 (multiplicity 1)  4 Tc 2.85, 5 Nb 3.01-3.18
Nb1 0.0000 0.0000 0.6849 (multiplicity 1)  4 Tc 2.69, 4 Nb 2.90
Nb2 0.5000 0.5000 0.1967 (multiplicity 1)  4 Tc 2.75, 4 Sc 3.01
Nb3 0.5000 0.5000 0.5057 (multiplicity 1)  4 Tc 2.76, 4 Nb 2.90
Tc1 0.0000 0.0000 0.3500 (multiplicity 1)  8 Nb 2.75-2.76
Tc2 0.5000 0.5000 0.8290 (multiplicity 1)  4 Nb 2.69, 4 Sc 2.85

***

Entry 4:
Below is a relaxed structure of LuScAsO, with properties calculated at the PBE level.

Total magnetic moment = 0.02 μB/cell
Uncorrected energy = -54.2 eV/cell
Energy relative to the lowest polymorph listed for this composition = 0.362 eV/atom

Cell: 4.2565 4.2565 8.1843 Å, 90.00 90.00 90.00°
Last column: nearest neighbours and their distance in Å.
Space group P4/nmm (No. 129, origin choice 2)
Inequivalent atoms, fractional coordinates:
Lu1 0.2500 0.7500 0.0000 (multiplicity 2)  4 As 2.75, 4 Lu 3.01
Sc1 0.2500 0.2500 0.4235 (multiplicity 2)  4 O 2.22
As1 0.2500 0.2500 0.7880 (multiplicity 2)  4 Lu 2.75, 1 Sc 2.98
O1 0.2500 0.7500 0.5000 (multiplicity 2)  4 Sc 2.22

***

Entry 5:
Below is a relaxed structure of Ba3H12Ir2, with properties calculated at the PBE level.

Total magnetic moment = 0.00 μB/cell
Uncorrected energy = -146.7 eV/cell

Cell: 9.3524 5.4758 8.7211 Å, 90.00 90.45 90.00°
Last column: nearest neighbours and their distance in Å.
Space group C2/m (No. 12)
Inequivalent atoms, fractional coordinates:
Ba1 0.0000 0.0000 0.0000 (multiplicity 2)  12 H 2.89-2.95
Ba2 0.1677 0.5000 0.3594 (multiplicity 4)  12 H 2.71-2.96
H1 0.0267 0.5000 0.8783 (multiplicity 4)  1 Ir 1.68
H2 0.0913 0.2770 0.6530 (multiplicity 8)  1 Ir 1.70
H3 0.1786 0.0000 0.3421 (multiplicity 4)  1 Ir 1.70
H4 0.2392 0.2892 0.8783 (multiplicity 8)  1 Ir 1.67
Ir1 0.1682 0.5000 0.7616 (multiplicity 4)  6 H 1.67-1.70

***

Entry 6:
Below is a relaxed structure of RbFeAuS3, with properties calculated at the PBE level.

Total magnetic moment = 8.98 μB/cell
Uncorrected energy = -105.9 eV/cell

Cell: 3.5992 15.5282 9.7930 Å, 90.00 90.00 90.00°
Last column: nearest neighbours and their distance in Å.
Space group Cmcm (No. 63)
Inequivalent atoms, fractional coordinates:
Rb1 0.0000 0.2320 0.2500 (multiplicity 4)  4 S 3.32-3.35, 2 Au 3.43, 2 Rb 3.60
Fe1 0.0000 0.5000 0.0000 (multiplicity 4)  6 S 2.35-2.57
Au1 0.0000 0.0803 0.7500 (multiplicity 4)  2 S 2.34
S1 0.0000 0.0966 0.5126 (multiplicity 8)  1 Au 2.34, 2 Fe 2.35
S2 0.0000 0.4500 0.7500 (multiplicity 4)  2 Fe 2.57, 2 Au 2.71

***

Entry 7:
Below is a relaxed structure of Na4InSnIr2, with properties calculated at the PBE level.

Total magnetic moment = 0.00 μB/cell
Uncorrected energy = -29.1 eV/cell

Cell: 4.7392 4.7392 6.7000 Å, 90.00 90.00 90.00°
Last column: nearest neighbours and their distance in Å.
Space group P-4m2 (No. 115)
Inequivalent atoms, fractional coordinates:
Na1 0.0000 0.0000 0.0000 (multiplicity 1)  4 Ir 2.86, 4 Na 2.92
Na2 0.0000 0.5000 0.7463 (multiplicity 2)  2 In 2.89, 4 Na 2.89-2.92, 2 Sn 2.92
Na3 0.5000 0.5000 0.5000 (multiplicity 1)  4 Na 2.89, 4 Ir 2.94
In1 0.0000 0.0000 0.5000 (multiplicity 1)  4 Na 2.89, 4 Ir 2.94
Sn1 0.5000 0.5000 0.0000 (multiplicity 1)  4 Ir 2.86, 4 Na 2.92
Ir1 0.0000 0.5000 0.2402 (multiplicity 2)  2 Sn 2.86, 4 Na 2.86-2.94, 2 In 2.94

***

Entry 8:
Below is a relaxed structure of ScZnInTe3, with properties calculated at the PBE level.

Total magnetic moment = 0.01 μB/cell
Uncorrected energy = -95.7 eV/cell
Energy relative to the lowest polymorph listed for this composition = 0.001 eV/atom

Cell: 4.2195 15.1664 11.0909 Å, 90.00 90.00 90.00°
Last column: nearest neighbours and their distance in Å.
Space group Cmcm (No. 63)
Inequivalent atoms, fractional coordinates:
Sc1 0.0000 0.0000 0.0000 (multiplicity 4)  6 Te 2.97-2.99
Zn1 0.0000 0.4635 0.2500 (multiplicity 4)  4 Te 2.65-2.70
In1 0.0000 0.2415 0.7500 (multiplicity 4)  8 Te 3.47-3.84, 2 Zn 3.76
Te1 0.0000 0.0745 0.2500 (multiplicity 4)  2 Zn 2.70, 2 Sc 2.99
Te2 0.0000 0.3670 0.0510 (multiplicity 8)  1 Zn 2.65